Mn26As18CO57: optimized geometry, GGA+U.

Cell lengths 13.7173, 13.7173, 8.9959 Å; angles 90.00, 90.00, 120.00 degrees
With the nearest neighbours (Å) after each atom.
Space group P3 (No. 143)
Asymmetric unit:
Mn  0.0000  0.0000  0.0083 x1  6 O 2.23-2.26
Mn  0.0073  0.7482  0.9954 x3  4 O 2.09-2.27
Mn  0.0083  0.2507  0.9581 x3  5 O 2.09-2.27
Mn  0.0839  0.4156  0.3099 x3  5 O 2.04-2.21
Mn  0.0961  0.6698  0.2985 x3  6 O 2.16-2.33
Mn  0.1620  0.8311  0.6115 x3  6 O 2.17-2.30
Mn  0.4155  0.0770  0.6172 x3  5 O 2.10-2.32
Mn  0.4238  0.3420  0.6405 x3  5 O 2.08-2.27
Mn  0.4967  0.0027  0.0000 x3  6 O 2.19-2.32
Mn  0.6667  0.3333  0.6025 x1  6 O 2.23-2.28
As  0.0489  0.8671  0.2940 x3  3 O 1.77-1.84
As  0.1413  0.5733  0.6541 x3  3 O 1.80-1.83
As  0.1638  0.0824  0.6850 x3  3 O 1.77-1.83
As  0.2346  0.4767  0.9565 x3  3 O 1.79-1.82
As  0.5033  0.2521  0.9273 x3  3 O 1.77-1.84
As  0.5311  0.1503  0.3151 x3  3 O 1.77-1.86
C  0.3333  0.6667  0.3059 x1  3 O 1.30
O  0.0095  0.4986  0.7575 x3  1 As 1.83
O  0.0709  0.1698  0.1109 x3  1 As 1.82
O  0.0893  0.6468  0.5396 x3  1 As 1.82
O  0.1089  0.4194  0.0723 x3  1 As 1.82
O  0.1093  0.4509  0.5460 x3  1 As 1.80
O  0.1205  0.6704  0.0610 x3  1 As 1.79
O  0.1430  0.3114  0.3690 x3  1 As 1.84, 1 Mn 2.04
O  0.1646  0.8187  0.8519 x3  1 As 1.82
O  0.1669  0.0941  0.8882 x3  1 As 1.83
O  0.2481  0.0161  0.6825 x3  1 As 1.79
O  0.2528  0.2255  0.6354 x3  1 As 1.77
O  0.2743  0.2535  0.2316 x3  1 As 1.77
O  0.2766  0.5572  0.3059 x3  1 C 1.30
O  0.3915  0.0906  0.3835 x3  1 As 1.77
O  0.4142  0.1086  0.9751 x3  1 As 1.77
O  0.4208  0.3187  0.9452 x3  1 As 1.78
O  0.4982  0.2436  0.7233 x3  1 As 1.84
O  0.5030  0.0097  0.2500 x3  1 As 1.86
O  0.5693  0.4051  0.4979 x3  1 As 1.83

Results
**Total energy**: -722.7 eV/f.u.